Record 1
# La5TmSi4 PBE-GGA optimized geometry
# Calculated density ... 5.708 g cm⁻³
# VASP energy ... -5.5900 eV per atom
# Energy relative to the elements, uncorrected ... -0.51 eV per atom
data_La5TmSi4
_chemical_formula_sum 'La10 Tm2 Si8'
_cell_length_a 15.906
_cell_length_b 5.107
_cell_length_c 6.993
_cell_angle_alpha 90.00
_cell_angle_beta 91.90
_cell_angle_gamma 90.00
_space_group_name_H-M_alt 'C 1 2/m 1'
_space_group_IT_number 12
loop_
_space_group_symop_operation_xyz
'x,y,z'
'-x,-y,-z'
'-x,y,-z'
'x,-y,z'
'x+1/2,y+1/2,z'
'-x+1/2,-y+1/2,-z'
'-x+1/2,y+1/2,-z'
'x+1/2,-y+1/2,z'
loop_
_atom_site_label
_atom_site_type_symbol
_atom_site_fract_x
_atom_site_fract_y
_atom_site_fract_z
_atom_site_occupancy
La1 La 0.000 0.000 0.000 1
La2 La 0.162 0.500 0.006 1
La3 La 0.168 0.500 0.512 1
Tm1 Tm 0.000 0.000 0.500 1
Si1 Si 0.007 0.500 0.274 1
Si2 Si 0.172 0.000 0.751 1

Record 2
# La2TmSi2 PBE-GGA optimized geometry
# Calculated density ... 6.336 g cm⁻³
# VASP energy ... -5.7285 eV per atom
# ΔE to the lowest computed polymorph ... 0 meV per atom
# Energy relative to the elements, uncorrected ... -0.69 eV per atom
data_La2TmSi2
_chemical_formula_sum 'La4 Tm2 Si4'
_cell_length_a 7.629
_cell_length_b 7.629
_cell_length_c 4.529
_cell_angle_alpha 90.00
_cell_angle_beta 90.00
_cell_angle_gamma 90.00
_space_group_name_H-M_alt 'P 4/m b m'
_space_group_IT_number 127
_space_group_name_Hall '-P 4 2ab'
loop_
_atom_site_label
_atom_site_type_symbol
_atom_site_fract_x
_atom_site_fract_y
_atom_site_fract_z
_atom_site_occupancy
La1 La 0.178 0.322 0.000 1
Tm1 Tm 0.000 0.000 0.500 1
Si1 Si 0.114 0.614 0.500 1

Record 3
# LaTmSi2 PBE-GGA optimized geometry
# Calculated density ... 6.485 g cm⁻³
# VASP energy ... -5.7901 eV per atom
# ΔE to the lowest computed polymorph ... 0 meV per atom
# Energy relative to the elements, uncorrected ... -0.73 eV per atom
data_LaTmSi2
_chemical_formula_sum 'La2 Tm2 Si4'
_cell_length_a 3.889
_cell_length_b 4.414
_cell_length_c 10.858
_cell_angle_alpha 90.00
_cell_angle_beta 90.00
_cell_angle_gamma 90.00
_space_group_name_H-M_alt 'A m m 2'
_space_group_IT_number 38
loop_
_space_group_symop_operation_xyz
'x,y,z'
'-x,-y,z'
'-x,y,z'
'x,-y,z'
'x,y+1/2,z+1/2'
'-x,-y+1/2,z+1/2'
'-x,y+1/2,z+1/2'
'x,-y+1/2,z+1/2'
loop_
_atom_site_label
_atom_site_type_symbol
_atom_site_fract_x
_atom_site_fract_y
_atom_site_fract_z
_atom_site_occupancy
La1 La 0.000 0.000 0.000 1
Tm1 Tm 0.500 0.000 0.722 1
Si1 Si 0.000 0.000 0.281 1
Si2 Si 0.500 0.000 0.426 1

Record 4
# La2TmSi2 PBE-GGA optimized geometry
# Calculated density ... 6.206 g cm⁻³
# VASP energy ... -5.6819 eV per atom
# ΔE to the lowest computed polymorph ... 47 meV per atom
# Energy relative to the elements, uncorrected ... -0.65 eV per atom
data_La2TmSi2
_chemical_formula_sum 'La8 Tm4 Si8'
_cell_length_a 12.587
_cell_length_b 4.417
_cell_length_c 10.930
_cell_angle_alpha 90.00
_cell_angle_beta 117.67
_cell_angle_gamma 90.00
_space_group_name_H-M_alt 'C 1 2/m 1'
_space_group_IT_number 12
loop_
_space_group_symop_operation_xyz
'x,y,z'
'-x,-y,-z'
'-x,y,-z'
'x,-y,z'
'x+1/2,y+1/2,z'
'-x+1/2,-y+1/2,-z'
'-x+1/2,y+1/2,-z'
'x+1/2,-y+1/2,z'
loop_
_atom_site_label
_atom_site_type_symbol
_atom_site_fract_x
_atom_site_fract_y
_atom_site_fract_z
_atom_site_occupancy
La1 La 0.016 0.000 0.189 1
La2 La 0.180 0.000 0.593 1
Tm1 Tm 0.226 0.500 0.871 1
Si1 Si 0.005 0.500 0.392 1
Si2 Si 0.111 0.500 0.053 1

Record 5
# LaTmZnSi PBE-GGA optimized geometry
# Calculated density ... 7.176 g cm⁻³
# VASP energy ... -4.4686 eV per atom
# Energy relative to the elements, uncorrected ... -0.44 eV per atom
data_LaTmZnSi
_chemical_formula_sum 'La4 Tm4 Zn4 Si4'
_cell_length_a 7.189
_cell_length_b 7.189
_cell_length_c 7.189
_cell_angle_alpha 90.00
_cell_angle_beta 90.00
_cell_angle_gamma 90.00
_space_group_name_H-M_alt 'F -4 3 m'
_space_group_IT_number 216
_space_group_name_Hall 'F -4 2 3'
loop_
_atom_site_label
_atom_site_type_symbol
_atom_site_fract_x
_atom_site_fract_y
_atom_site_fract_z
_atom_site_occupancy
La1 La 0.000 0.000 0.000 1
Tm1 Tm 0.000 0.000 0.500 1
Zn1 Zn 0.250 0.250 0.750 1
Si1 Si 0.250 0.250 0.250 1

Record 6
# LaUSi2 PBE-GGA optimized geometry
# Calculated density ... 7.304 g cm⁻³
# VASP energy ... -6.9372 eV per atom
# Energy relative to the elements, uncorrected ... -0.17 eV per atom
data_LaUSi2
_chemical_formula_sum 'La3 U3 Si6'
_cell_length_a 4.5923
_cell_length_b 4.5923
_cell_length_c 16.1729
_cell_angle_alpha 90.00
_cell_angle_beta 90.00
_cell_angle_gamma 120.00
_space_group_name_H-M_alt 'R -3 m'
_space_group_IT_number 166
_space_group_name_Hall '-R 3 2"'
loop_
_atom_site_label
_atom_site_type_symbol
_atom_site_fract_x
_atom_site_fract_y
_atom_site_fract_z
_atom_site_occupancy
La1 La 0.0000 0.0000 0.0000 1
U1 U 0.0000 0.0000 0.5000 1
Si1 Si 0.0000 0.0000 0.2307 1

Record 7
# LaU2Si6 PBE-GGA optimized geometry
# Calculated density ... 7.596 g cm⁻³
# VASP energy ... -7.0602 eV per atom
# Energy relative to the elements, uncorrected ... -0.39 eV per atom
data_LaU2Si6
_chemical_formula_sum 'La1 U2 Si6'
_cell_length_a 7.0488
_cell_length_b 7.0488
_cell_length_c 3.9801
_cell_angle_alpha 90.00
_cell_angle_beta 90.00
_cell_angle_gamma 120.00
_space_group_name_H-M_alt 'P 6/m m m'
_space_group_IT_number 191
_space_group_name_Hall '-P 6 2'
loop_
_atom_site_label
_atom_site_type_symbol
_atom_site_fract_x
_atom_site_fract_y
_atom_site_fract_z
_atom_site_occupancy
La1 La 0.0000 0.0000 0.0000 1
U1 U 0.3333 0.6667 0.0000 1
Si1 Si 0.0000 0.3380 0.5000 1

Record 8
# LaVSi2 PBE-GGA optimized geometry
# Calculated density ... 4.311 g cm⁻³
# VASP energy ... -6.3547 eV per atom
# ΔE to the lowest computed polymorph ... 248 meV per atom
# Energy relative to the elements, uncorrected ... -0.13 eV per atom
data_LaVSi2
_chemical_formula_sum 'La4 V4 Si8'
_cell_length_a 4.861
_cell_length_b 4.861
_cell_length_c 16.044
_cell_angle_alpha 90.00
_cell_angle_beta 90.00
_cell_angle_gamma 90.00
_space_group_name_H-M_alt 'I -4 2 d'
_space_group_IT_number 122
_space_group_name_Hall 'I -4 2bw'
loop_
_atom_site_label
_atom_site_type_symbol
_atom_site_fract_x
_atom_site_fract_y
_atom_site_fract_z
_atom_site_occupancy
La1 La 0.000 0.000 0.000 1
V1 V 0.000 0.000 0.500 1
Si1 Si 0.001 0.750 0.625 1